No. 1
Here is an optimized crystal structure of SrAgSe2F from Alexandria via LeMat-Bulk. Energies are from PBE-GGA.

Properties
For the uncorrected formation energy, the calculation gives -736 meV per atom. Its crystal system is tetragonal.

abc: 6.025 6.025 4.462
angles: 90.00 90.00 90.00
Space group P4/mmm (No. 123)
Inequivalent atoms, fractional coordinates:
Sr  0.000  0.000  0.000 (multiplicity 1)
Ag  0.500  0.500  0.500 (multiplicity 1)
Se  0.000  0.500  0.000 (multiplicity 2)
F  0.000  0.000  0.500 (multiplicity 1)

=====

No. 2
Here is an optimized crystal structure of GaGeC2 from Alexandria via LeMat-Bulk. Energies are from PBE-GGA.

Properties
The total energy is -23.21 eV/f.u. Its crystal system is tetragonal.

abc: 4.674 4.674 9.178
angles: 90.00 90.00 90.00
Space group I-42d (No. 122)
Inequivalent atoms, fractional coordinates:
Ga  0.000  0.000  0.000 (multiplicity 4)
Ge  0.000  0.000  0.500 (multiplicity 4)
C  0.240  0.250  0.625 (multiplicity 8)

=====

Number 1: ρ 3.8 g cm⁻³. Number 2: ρ 5.5 g cm⁻³.